CuSiMo2 | PBE | relaxed

## Properties
DOS(E_F) ... 3.97 states/eV per cell
Crystal system ... trigonal
ΔE_f (raw) ... 78 kJ/mol of formula units
Total magnetic moment ... 0.00 μB per cell
E_tot ... -7.593 eV/atom

Cell lengths 8.8779, 8.8779, 8.8779 Å; angles 17.97, 17.97, 17.97 degrees
Atoms (fractional coordinates):
1 Mo 0.5017 0.5017 0.5017
2 Cu 0.7500 0.7500 0.7500
3 Si 0.2500 0.2500 0.2500
4 Mo 0.9983 0.9983 0.9983


AlB2Te | PBE | relaxed

## Properties
DOS(E_F) ... 4.12 states/eV per cell
Crystal system ... tetragonal
ΔE_f (raw) ... 244 kJ/mol of formula units
E above lowest polymorph ... 0.0 meV/atom
Total magnetic moment ... 0.00 μB per cell
E_tot ... -4.428 eV/atom

Cell lengths 5.1687, 5.1687, 6.2461 Å; angles 65.56, 65.56, 90.00 degrees
Atoms (fractional coordinates):
1 Al 0.5000 0.5000 0.0000
2 Te 0.0000 0.0000 0.0000
3 B 0.8750 0.8618 0.7500
4 Al 0.2500 0.7500 0.5000
5 B 0.3750 0.3882 0.7500
6 Te 0.7500 0.2500 0.5000
7 B 0.1382 0.6250 0.2500
8 B 0.6118 0.1250 0.2500


Number 1: volume 14.544 Å³/atom. Number 2: volume 16.915 Å³/atom.